(1)
The following is a PBE-GGA calculation of a relaxed NdMgInPt crystal, from the Alexandria database.

Geometry as CIF:
```
data_NdMgInPt
_cell_length_a 7.1146
_cell_length_b 7.1146
_cell_length_c 7.1146
_cell_angle_alpha 90.00
_cell_angle_beta 90.00
_cell_angle_gamma 90.00
_space_group_name_H-M_alt 'F -4 3 m'
_space_group_IT_number 216
_space_group_name_Hall 'F -4 2 3'
loop_
_atom_site_label
_atom_site_type_symbol
_atom_site_fract_x
_atom_site_fract_y
_atom_site_fract_z
Nd1 Nd 0.0000 0.0000 0.0000
Mg1 Mg 0.0000 0.0000 0.5000
In1 In 0.2500 0.2500 0.7500
Pt1 Pt 0.2500 0.2500 0.2500
```

Output
- volume (Å³ per atom) = 22.5
- calculated density (g cm⁻³) = 8.824
- magnetization (μB per atom) = 0.0000
- energy of formation from the pure elements (eV per atom) = -0.61

---

(2)
The following is a PBE-GGA calculation of a relaxed Nd2MgIn2Rh5 crystal, from the Alexandria database.

Geometry as CIF:
```
data_Nd2MgIn2Rh5
_cell_length_a 10.3470
_cell_length_b 10.3470
_cell_length_c 3.6710
_cell_angle_alpha 90.00
_cell_angle_beta 90.00
_cell_angle_gamma 90.00
_space_group_name_H-M_alt 'P 4/m b m'
_space_group_IT_number 127
_space_group_name_Hall '-P 4 2ab'
loop_
_atom_site_label
_atom_site_type_symbol
_atom_site_fract_x
_atom_site_fract_y
_atom_site_fract_z
Nd1 Nd 0.1698 0.3302 0.0000
Mg1 Mg 0.0000 0.0000 0.0000
In1 In 0.1297 0.6297 0.0000
Rh1 Rh 0.0000 0.5000 0.5000
Rh2 Rh 0.0540 0.8029 0.5000
```

Output
- volume (Å³ per atom) = 19.7
- calculated density (g cm⁻³) = 8.932
- magnetization (μB per atom) = 0.0000
- energy of formation from the pure elements (eV per atom) = -0.40

---

> Which value of calculated density does entry 2 give?

8.932 g cm⁻³

---

> Number 2 is which compound?

Nd2MgIn2Rh5

---

> Which value of volume does entry 1 give?

22.5 Å³ per atom